No. 1
First-principles (PBE) data for an optimized crystal structure of NbOs2CO, as listed in the Alexandria database.

The structure in extended XYZ format:
```
5
Lattice="4.8590 0.0000 0.0000 0.0000 4.8590 0.0000 0.0000 0.0000 4.0549" Properties=species:S:1:pos:R:3 pbc="T T T"
Nb 0.0000 0.0000 0.0000
Os 0.0000 2.4295 0.0000
Os 2.4295 0.0000 0.0000
C 0.0000 0.0000 2.0275
O 2.4295 2.4295 2.0275
```

Values from the calculation:
Energy relative to the elements, uncorrected = 2.891 eV/atom
Calculated volume = 19.1 A^3/atom
Electronic total energy = -0.47419 Ry/atom

***

No. 2
First-principles (PBE) data for an optimized crystal structure of Tl11In4, as listed in the Alexandria database.

The structure in extended XYZ format:
```
30
Lattice="12.0709 0.0000 0.0000 0.0000 12.0709 0.0000 0.0000 0.0000 6.2689" Properties=species:S:1:pos:R:3 pbc="T T T"
Tl 0.0000 0.0000 0.0000
Tl 0.7817 3.2697 0.0000
Tl 1.2299 1.2299 3.1345
Tl 2.2152 9.8557 1.5657
Tl 2.2152 9.8557 4.7032
Tl 2.7657 6.8172 3.1345
Tl 3.2697 0.7817 0.0000
Tl 3.8202 3.8202 1.5687
Tl 3.8202 3.8202 4.7002
Tl 4.8055 7.2653 0.0000
Tl 5.2537 9.3052 3.1345
Tl 6.0354 6.0354 3.1345
Tl 6.8172 2.7657 3.1345
Tl 7.2653 4.8055 0.0000
Tl 8.2506 8.2506 1.5687
Tl 8.2506 8.2506 4.7002
Tl 8.8011 11.2891 0.0000
Tl 9.3052 5.2537 3.1345
Tl 9.8557 2.2152 1.5657
Tl 9.8557 2.2152 4.7032
Tl 10.8410 10.8410 3.1345
Tl 11.2891 8.8011 0.0000
In 0.4556 4.4582 3.1345
In 1.5772 6.4910 0.0000
In 4.4582 0.4556 3.1345
In 5.5799 10.4936 0.0000
In 6.4910 1.5772 0.0000
In 7.6127 11.6153 3.1345
In 10.4936 5.5799 0.0000
In 11.6153 7.6127 3.1345
```

Values from the calculation:
Calculated volume = 30.4 A^3/atom
Electronic total energy = -0.17842 Ry/atom

***

Number 1: size of the total moment 3.20 μB per formula unit. Number 2: size of the total moment 0.00 μB per formula unit.